## Eu2YZn (PBE-GGA)

Data for Eu2YZn after structural relaxation.

a b c (Å): 4.8990 4.8990 5.0365
angles (deg): 90.00 90.00 90.00
With the nearest neighbours (Å) after each atom.
Element x y z (fractional)
Eu 0.0000 0.5000 0.0000  4 Eu 3.46, 4 Y 3.51, 4 Zn 3.51
Eu 0.5000 0.0000 0.0000  4 Eu 3.46, 4 Y 3.51, 4 Zn 3.51
Y 0.0000 0.0000 0.5000  4 Zn 3.46, 8 Eu 3.51
Zn 0.5000 0.5000 0.5000  4 Y 3.46, 8 Eu 3.51

Computed properties:
Energy of formation from the pure elements = 0.21 eV per formula unit
Space-group type = P4/mmm, No. 123
Energy above the lowest structure with this stoichiometry = 0.118 eV per atom